(1)
Below is crystalline LiCrPt4 at its relaxed geometry, with properties calculated at the PBE level.

Summary:
mass density	13.6	g/cm3
E_tot	-0.450	Ry/atom
total moment	4.35	μB per formula unit

Cell lengths 5.2545, 5.2545, 5.2545 Å; angles 60.00, 60.00, 60.00 degrees
Fractional coordinates of all 6 atoms:
Li 0.0000 0.0000 0.0000
Cr 0.7500 0.7500 0.7500
Pt 0.8750 0.3750 0.3750
Pt 0.3750 0.3750 0.8750
Pt 0.3750 0.8750 0.3750
Pt 0.3750 0.3750 0.3750

***

(2)
Below is crystalline Pu2AgF11 at its relaxed geometry, with properties calculated at the PBE level.

Summary:
mass density	5.3	g/cm3
E_tot	-0.482	Ry/atom
total moment	6.00	μB per formula unit

Cell lengths 9.0616, 8.7248, 8.7248 Å; angles 70.35, 58.71, 58.71 degrees
Fractional coordinates of all 28 atoms:
Pu 0.6614 0.6698 0.3302
Pu 0.3386 0.3302 0.6698
Pu 0.8386 0.1698 0.8302
Pu 0.1614 0.8302 0.1698
Ag 0.7500 0.7500 0.7500
Ag 0.2500 0.2500 0.2500
F 0.6412 0.6929 0.5685
F 0.3588 0.3071 0.4315
F 0.0974 0.5685 0.6929
F 0.8588 0.9315 0.8071
F 0.9026 0.4315 0.3071
F 0.1412 0.0685 0.1929
F 0.4026 0.8071 0.9315
F 0.5974 0.1929 0.0685
F 0.5000 0.5000 0.5000
F 0.0000 0.0000 0.0000
F 0.8398 0.7954 0.2046
F 0.1601 0.2046 0.7954
F 0.6602 0.2954 0.7046
F 0.3399 0.7046 0.2954
F 0.4417 0.9243 0.3456
F 0.5583 0.0757 0.6544
F 0.2884 0.3456 0.9243
F 0.0583 0.1544 0.5757
F 0.7116 0.6544 0.0757
F 0.9417 0.8456 0.4243
F 0.2116 0.5757 0.1544
F 0.7884 0.4243 0.8456

***

(3)
Below is crystalline TbAlRh at its relaxed geometry, with properties calculated at the PBE level.

Summary:
mass density	7.8	g/cm3
E_tot	-0.439	Ry/atom
total moment	0.00	μB per formula unit

Cell lengths 3.8099, 4.3179, 4.3179 Å; angles 120.00, 90.00, 90.00 degrees
Fractional coordinates of all 3 atoms:
Rh 0.1666 0.6667 0.3333
Tb 0.6667 0.3333 0.6667
Al 0.1667 0.0000 0.0000

***

(4)
Below is crystalline Dy2BeB2Ir5 at its relaxed geometry, with properties calculated at the PBE level.

Summary:
mass density	15.7	g/cm3
E_tot	-0.568	Ry/atom
total moment	0.00	μB per formula unit

Cell lengths 3.0770, 9.5286, 9.5286 Å; angles 90.00, 90.00, 90.00 degrees
Fractional coordinates of all 20 atoms:
Dy 0.0000 0.6774 0.1774
Dy 0.0000 0.3226 0.8226
Dy 0.0000 0.1774 0.3226
Dy 0.0000 0.8226 0.6774
Be 0.0000 0.0000 0.0000
Be 0.0000 0.5000 0.5000
B 0.0000 0.1247 0.6247
B 0.0000 0.8753 0.3753
B 0.0000 0.6247 0.8753
B 0.0000 0.3753 0.1247
Ir 0.5000 0.2124 0.0658
Ir 0.5000 0.7876 0.9342
Ir 0.5000 0.0658 0.7876
Ir 0.5000 0.7124 0.4342
Ir 0.5000 0.9342 0.2124
Ir 0.5000 0.2876 0.5658
Ir 0.5000 0.5658 0.7124
Ir 0.5000 0.4342 0.2876
Ir 0.5000 0.5000 0.0000
Ir 0.5000 0.0000 0.5000

***

> Look up the total moment of the fourth one.

0.00 μB per formula unit